Material: NaZrSc2
Method: DFT, PBE-GGA
State: relaxed

a b c (Å): 4.366 4.366 21.172
angles (deg): 90.00 90.00 90.00
Space group I-42d (No. 122)
Asymmetric unit:
Na1 0.000 0.000 0.000
Zr1 0.000 0.000 0.500
Sc1 0.237 0.250 0.625

Results
Total magnetization = 0.00 μB/cell
Total energy = -0.3600 Ry per atom
Calculated volume = 25.2 Å³ per atom
Energy relative to the lowest polymorph listed for this composition = 623 meV per atom
Formation energy from the elements = 0.734 eV per atom